No. 1
Material: Rh2AuCl
Method: DFT, GGA-PBE
State: relaxed

Cell: 2.8394 5.1742 8.8713 Å, 90.00 90.00 90.00°
Closest atoms and distances in Å follow each position.
Space group Immm (No. 71)
Symmetry-distinct sites (fractional):
1 Rh 0.0000 0.0000 0.2336  2 Cl 2.51, 2 Au 2.76
2 Au 0.0000 0.5000 0.0000  4 Rh 2.76, 2 Au 2.84, 4 Cl 2.95
3 Cl 0.0000 0.5000 0.5000  4 Rh 2.51

- total moment (μB per atom) = 0.000
- calculated total energy (eV per atom) = -4.446
- density of states at the Fermi level (states/eV/f.u.) = 4.60
- raw formation energy (eV/atom) = 0.51

No. 2
Material: CsCrAs2
Method: DFT, GGA-PBE
State: relaxed

Cell: 7.3894 7.3894 7.3894 Å, 90.00 90.00 90.00°
Closest atoms and distances in Å follow each position.
Space group Fm-3m (No. 225)
Symmetry-distinct sites (fractional):
1 Cs 0.0000 0.0000 0.0000  8 As 3.20
2 Cr 0.0000 0.0000 0.5000  8 As 3.20
3 As 0.2500 0.2500 0.2500  4 Cr 3.20, 4 Cs 3.20

- total moment (μB per atom) = 0.879
- calculated total energy (eV per atom) = -4.243
- density of states at the Fermi level (states/eV/f.u.) = 3.13

No. 3
Material: BaNa2SnPt
Method: DFT, GGA-PBE
State: relaxed

Cell: 5.5229 5.5229 5.1540 Å, 90.00 90.00 90.00°
Closest atoms and distances in Å follow each position.
Space group P4/mmm (No. 123)
Symmetry-distinct sites (fractional):
1 Ba 0.0000 0.0000 0.0000  8 Na 3.78, 4 Sn 3.91
2 Na 0.0000 0.5000 0.5000  2 Pt 2.76
3 Sn 0.5000 0.5000 0.0000  2 Pt 2.58
4 Pt 0.5000 0.5000 0.5000  2 Sn 2.58, 4 Na 2.76

- total moment (μB per atom) = 0.078
- calculated total energy (eV per atom) = -3.215
- density of states at the Fermi level (states/eV/f.u.) = 2.58

No. 4
Material: La3GaPb
Method: DFT, GGA-PBE
State: relaxed

Cell: 5.7171 5.7171 5.7171 Å, 90.00 90.00 90.00°
Closest atoms and distances in Å follow each position.
Space group Pm-3m (No. 221)
Symmetry-distinct sites (fractional):
1 La 0.0000 0.0000 0.5000  2 Ga 2.86
2 Ga 0.0000 0.0000 0.0000  6 La 2.86
3 Pb 0.5000 0.5000 0.5000  12 La 4.04

- total moment (μB per atom) = 0.000
- calculated total energy (eV per atom) = -4.531
- density of states at the Fermi level (states/eV/f.u.) = 2.14

Record order is preserved below.
Calculated density: 11.167 5.511 5.251 6.164 g/cm3
Record order is preserved below.
V: 16.3 25.2 31.4 37.4 Å³ per atom